No. 1
CeZnPdPt: relaxed, PBE-GGA.

Properties
E_form: -0.79 eV/atom
Distance to the lowest polymorph of the same formula: 0 meV per atom

Unit cell a=4.4177 b=4.4177 c=13.9118 alpha=90.00 beta=90.00 gamma=120.00
Space group R3m (No. 160, hexagonal axes)
Inequivalent atoms, fractional coordinates:
Ce  0.0000  0.0000  0.0000 x3
Zn  0.0000  0.0000  0.4953 x3
Pd  0.0000  0.0000  0.2171 x3
Pt  0.0000  0.0000  0.7806 x3

=====

No. 2
CeZrPdPt: relaxed, PBE-GGA.

Properties
E_form: -0.70 eV/atom

Unit cell a=6.9262 b=6.9262 c=6.9262 alpha=90.00 beta=90.00 gamma=90.00
Space group F-43m (No. 216)
Inequivalent atoms, fractional coordinates:
Ce  0.0000  0.0000  0.0000 x4
Zr  0.0000  0.0000  0.5000 x4
Pd  0.2500  0.2500  0.2500 x4
Pt  0.2500  0.2500  0.7500 x4

=====

No. 3
CePuPd4: relaxed, PBE-GGA.

Properties
E_form: -0.66 eV/atom

Unit cell a=7.7337 b=7.7337 c=7.7337 alpha=90.00 beta=90.00 gamma=90.00
Space group F-43m (No. 216)
Inequivalent atoms, fractional coordinates:
Ce  0.0000  0.0000  0.0000 x4
Pu  0.2500  0.2500  0.2500 x4
Pd  0.1248  0.1248  0.6248 x16

=====

- Number 2 is which compound?
  CeZrPdPt